This record from Alexandria via LeMat-Bulk describes a geometry-optimized FeCo2Cu structure. The functional is GGA-PBE.

The structure belongs to space group Pm (No. 6); the cell edges are 2.520, 3.584 and 5.051 Å and the angles 90.00°, 90.30° and 90.00°. The asymmetric unit holds Fe at (0.000, 0.000, 0.000), Co at (0.001, 0.000, 0.516), Co at (0.501, 0.500, 0.748) and Cu at (0.501, 0.500, 0.257).

The density of states at the Fermi level is 0.733 states/eV/atom. For the calculated formation energy, the calculation gives 0.073 eV/atom.